An optimized crystal structure of YBi2PbO6, computed with PBE-GGA.

**Spin magnetization**: 0.09 μB per atom
**DFT total energy**: -64.335 eV for the cell shown
**E_form (uncorrected)**: -16.65 eV per formula unit

a = 6.1219 Å, b = 6.1213 Å, c = 6.2090 Å
α = 60.47°, β = 60.46°, γ = 59.99°
Closest atoms and distances in Å follow each position.
Element x y z (fractional)
O1 0.6841 0.1231 0.7432  1 Y 2.25, 1 Bi 2.31, 1 Pb 2.48
O2 0.4496 0.6841 0.7432  1 Y 2.25, 1 Bi 2.31, 1 Pb 2.49
O3 0.9263 0.6455 0.2462  2 Bi 2.30-2.51, 1 Pb 2.36, 1 Y 2.37
O4 0.1821 0.9262 0.2462  2 Bi 2.30-2.51, 1 Pb 2.36, 1 Y 2.37
O5 0.6453 0.1822 0.2464  2 Bi 2.30-2.51, 1 Pb 2.36, 1 Y 2.37
O6 0.1232 0.4497 0.7430  1 Y 2.25, 1 Bi 2.31, 1 Pb 2.49
Bi1 0.5189 0.5189 0.4431  6 O 2.31-2.51
Bi2 0.0233 0.0231 0.9304  6 O 2.30-2.54
Pb1 0.3022 0.3020 0.0937  6 O 2.36-2.49
Y1 0.8067 0.8067 0.5799  6 O 2.25-2.37